Computed, not measured: a geometry-optimized MnCd4Rh2 structure at the GGA-PBE level of DFT.

Lattice parameters (Å, degrees): 4.956 4.956 7.564 70.88 70.88 90.00
Each line ends with the local moment (μB).
Atoms (fractional coordinates):
Cd 0.500 0.000 0.000  0.01
Rh 0.601 0.601 0.799  0.21
Cd 0.000 0.500 0.000  0.01
Rh 0.399 0.399 0.201  0.21
Cd 0.799 0.799 0.402  -0.01
Mn 0.000 0.000 0.000  3.54
Cd 0.201 0.201 0.598  -0.01

Output
volume: 23.52 Å³ per atom
M_tot: 4.13 μB/f.u.
Fermi-level density of states: 8.50 states/eV/f.u.
formation energy from the elements: 0.692 eV per atom

Computed, not measured: a geometry-optimized Mn2CdRh2 structure at the GGA-PBE level of DFT.

Lattice parameters (Å, degrees): 7.379 7.379 2.901 90.00 90.00 90.00
Each line ends with the local moment (μB).
Atoms (fractional coordinates):
Mn 0.156 0.656 0.500  3.49
Mn 0.844 0.344 0.500  3.49
Rh 0.639 0.139 0.000  0.20
Cd 0.500 0.500 0.000  -0.02
Cd 0.000 0.000 0.000  -0.02
Rh 0.139 0.361 0.000  0.17
Rh 0.361 0.861 0.000  0.20
Mn 0.344 0.156 0.500  3.50
Mn 0.656 0.844 0.500  3.50
Rh 0.861 0.639 0.000  0.17

Output
volume: 15.80 Å³ per atom
M_tot: 7.62 μB/f.u.
Fermi-level density of states: 3.69 states/eV/f.u.
formation energy from the elements: -0.005 eV per atom
distance to the lowest polymorph of the same formula: 0.000 eV per atom

Computed, not measured: a geometry-optimized MnCdRh2 structure at the GGA-PBE level of DFT.

Lattice parameters (Å, degrees): 4.912 4.912 4.912 133.39 133.39 68.04
Each line ends with the local moment (μB).
Atoms (fractional coordinates):
Rh 0.000 0.000 0.000  -0.32
Mn 0.750 0.250 0.500  3.49
Rh 0.250 0.750 0.500  -0.31
Cd 0.500 0.500 0.000  -0.02

Output
volume: 15.38 Å³ per atom
M_tot: 2.94 μB/f.u.
Fermi-level density of states: 3.01 states/eV/f.u.
formation energy from the elements: -0.007 eV per atom

Computed, not measured: a geometry-optimized MnCdSbRh2 structure at the GGA-PBE level of DFT.

Lattice parameters (Å, degrees): 4.895 5.105 4.895 90.00 90.00 90.00
Each line ends with the local moment (μB).
Atoms (fractional coordinates):
Cd 0.000 0.000 0.000  -0.01
Rh 0.000 0.000 0.500  0.39
Sb 0.000 0.500 0.000  0.05
Rh 0.500 0.000 0.000  0.36
Mn 0.500 0.500 0.500  -0.07

Output
volume: 24.46 Å³ per atom
M_tot: 0.69 μB/f.u.
Fermi-level density of states: 8.57 states/eV/f.u.
uncorrected formation energy: 1943 meV per atom

Computed, not measured: a geometry-optimized MnZn2CdRh structure at the GGA-PBE level of DFT.

Lattice parameters (Å, degrees): 4.749 4.749 5.054 90.00 90.00 90.00
Each line ends with the local moment (μB).
Atoms (fractional coordinates):
Zn 0.000 0.500 0.000  -0.02
Cd 0.000 0.000 0.000  -0.01
Zn 0.500 0.000 0.000  -0.02
Mn 0.500 0.500 0.500  4.34
Rh 0.000 0.000 0.500  -0.07

Output
volume: 22.79 Å³ per atom
M_tot: 4.45 μB/f.u.
Fermi-level density of states: 3.46 states/eV/f.u.
formation energy from the elements: 1.059 eV per atom

Computed, not measured: a geometry-optimized ZrMnCdRh2 structure at the GGA-PBE level of DFT.

Lattice parameters (Å, degrees): 4.837 4.649 4.837 90.00 90.00 90.00
Each line ends with the local moment (μB).
Atoms (fractional coordinates):
Rh 0.000 0.000 0.500  0.18
Cd 0.000 0.000 0.000  0.02
Rh 0.500 0.000 0.000  0.08
Mn 0.000 0.500 0.000  3.78
Zr 0.500 0.500 0.500  -0.55

Output
volume: 21.75 Å³ per atom
M_tot: 3.28 μB/f.u.
Fermi-level density of states: 6.98 states/eV/f.u.
formation energy from the elements: 1.100 eV per atom

Computed, not measured: a geometry-optimized Zr2MnCdRh structure at the GGA-PBE level of DFT.

Lattice parameters (Å, degrees): 4.940 5.117 4.940 90.00 90.00 90.00
Each line ends with the local moment (μB).
Atoms (fractional coordinates):
Zr 0.500 0.000 0.000  -0.22
Mn 0.500 0.500 0.500  4.13
Rh 0.000 0.000 0.000  0.03
Zr 0.000 0.000 0.500  -0.15
Cd 0.000 0.500 0.000  -0.01

Output
volume: 24.98 Å³ per atom
M_tot: 3.81 μB/f.u.
Fermi-level density of states: 5.87 states/eV/f.u.
formation energy from the elements: 0.490 eV per atom

Computed, not measured: a geometry-optimized Mn2CdRu structure at the GGA-PBE level of DFT.

Lattice parameters (Å, degrees): 3.132 3.128 6.936 63.51 90.00 90.00
Each line ends with the local moment (μB).
Atoms (fractional coordinates):
Mn 0.500 0.249 0.250  -3.02
Mn 0.000 0.960 0.041  3.16
Ru 0.000 0.542 0.458  0.12
Cd 0.500 0.748 0.752  -0.02

Output
volume: 15.21 Å³ per atom
M_tot: 0.23 μB/f.u.
Fermi-level density of states: 2.00 states/eV/f.u.
formation energy from the elements: 0.184 eV per atom